This record from the Open Quantum Materials Database describes Tc7B3 after structural relaxation. The functional is GGA-PBE.

Structure (POSCAR):
```
Tc7B3
1.0
7.5069 0.0000 0.0000
-3.7534 6.5011 0.0000
0.0000 0.0000 4.8615
Tc B
14 6
direct
0.0913 0.5456 0.0000
0.1236 0.2472 0.7059
0.1236 0.8764 0.7059
0.2472 0.1236 0.2059
0.3333 0.6667 0.5340
0.4544 0.5456 0.0000
0.4544 0.9087 0.0000
0.5456 0.0913 0.5000
0.5456 0.4544 0.5000
0.6667 0.3333 0.0340
0.7528 0.8764 0.7059
0.8764 0.1236 0.2059
0.8764 0.7528 0.2059
0.9087 0.4544 0.5000
0.1895 0.3790 0.2916
0.1895 0.8105 0.2916
0.3790 0.1895 0.7916
0.6210 0.8105 0.2916
0.8105 0.1895 0.7916
0.8105 0.6210 0.7916
```

Values from the calculation:
As for the volume: 11.863 A^3/atom. The calculation puts the density at 10.1 g/cm3. For the uncorrected energy, the calculation gives -9.573 eV per atom. As for the spin magnetization: 0.01 μB/f.u.

This record from the Open Quantum Materials Database describes NaAcDy after structural relaxation. The functional is GGA-PBE.

Structure (POSCAR):
```
NaAcDy
1.0
7.8561 0.0000 0.0000
0.0000 7.8561 0.0000
0.0000 0.0000 7.8561
Na Ac Dy
4 4 4
direct
0.0000 0.0000 0.0000
0.0000 0.5000 0.5000
0.5000 0.0000 0.5000
0.5000 0.5000 0.0000
0.2500 0.2500 0.7500
0.2500 0.7500 0.2500
0.7500 0.2500 0.2500
0.7500 0.7500 0.7500
0.2500 0.2500 0.2500
0.2500 0.7500 0.7500
0.7500 0.2500 0.7500
0.7500 0.7500 0.2500
```

Values from the calculation:
As for the volume: 40.406 A^3/atom. The calculation puts the density at 5.7 g/cm3. For the uncorrected energy, the calculation gives -2.624 eV per atom. As for the spin magnetization: 0.88 μB/f.u.

This record from the Open Quantum Materials Database describes Zr4InPbC2 after structural relaxation. The functional is GGA-PBE.

Structure (POSCAR):
```
Zr4InPbC2
1.0
3.3968 0.0000 0.0000
-1.6984 2.9417 0.0000
0.0000 0.0000 14.9835
Zr In Pb C
4 1 1 2
direct
0.0000 0.0000 0.1670
0.0000 0.0000 0.8330
0.3333 0.6667 0.3316
0.3333 0.6667 0.6684
0.3333 0.6667 0.0000
0.0000 0.0000 0.5000
0.6667 0.3333 0.2491
0.6667 0.3333 0.7509
```

Values from the calculation:
As for the volume: 18.715 A^3/atom. The calculation puts the density at 7.9 g/cm3. For the uncorrected energy, the calculation gives -8.068 eV per atom. As for the spin magnetization: 0.00 μB/f.u.

This record from the Open Quantum Materials Database describes OsAuSO after structural relaxation. The functional is GGA-PBE.

Structure (POSCAR):
```
OsAuSO
1.0
6.0023 0.0000 0.0000
0.0000 6.8979 0.0000
-0.9847 0.0000 5.8518
Os Au S O
4 4 4 4
direct
0.0578 0.1223 0.2747
0.0578 0.3777 0.7747
0.9422 0.6223 0.2253
0.9422 0.8777 0.7253
0.4883 0.6895 0.0466
0.4883 0.8105 0.5466
0.5117 0.1895 0.4534
0.5117 0.3105 0.9534
0.2105 0.0742 0.9503
0.2105 0.4258 0.4503
0.7895 0.5742 0.5497
0.7895 0.9258 0.0497
0.1154 0.6462 0.9356
0.1154 0.8538 0.4356
0.8846 0.1462 0.5644
0.8846 0.3538 0.0644
```

Values from the calculation:
As for the volume: 15.143 A^3/atom. The calculation puts the density at 11.9 g/cm3. For the uncorrected energy, the calculation gives -5.862 eV per atom. As for the spin magnetization: 0.00 μB/f.u.

Which formula does entry 4 have?
OsAuSO

Which value of density does entry 4 give?
11.9 g/cm3